First-principles (GGA-PBEsol) data for a relaxed LiCaZn2 crystal, as listed in the Alexandria database.

Calculated values
The calculation puts the theoretical density at 3.762 Mg/m³. The density of states at the Fermi level comes out at 1.9 states/eV per cell. For the energy above the most stable polymorph in this dataset, the calculation gives 78 meV/atom. The formation energy comes out at -0.4 eV/f.u. As for the total energy: -1.91 eV per atom.

a = 5.0689 Å, b = 5.0689 Å, c = 5.0689 Å
α = 128.03°, β = 128.03°, γ = 76.58°
Last column: nearest neighbours and their distance in Å.
Sites, in units of the cell vectors:
1 Li 0.0000 0.0000 0.0000  8 Zn 2.98, 4 Ca 3.14
2 Ca 0.5000 0.5000 0.0000  8 Zn 2.98, 4 Li 3.14
3 Zn 0.2500 0.7500 0.5000  4 Li 2.98, 4 Ca 2.98, 4 Zn 3.14
4 Zn 0.7500 0.2500 0.5000  4 Li 2.98, 4 Ca 2.98, 4 Zn 3.14